Compound: Hf3ZrMn8
Source: Alexandria via LeMat-Bulk
Functional: GGA-PBE
Structure: optimized geometry

Geometry as CIF:
```
data_Hf3ZrMn8
_chemical_formula_sum 'Hf9 Zr3 Mn24'
_space_group_name_H-M_alt 'R 3 m'
_space_group_IT_number 160
_space_group_name_Hall 'R 3 -2"'
_cell_length_a 4.9420
_cell_length_b 4.9420
_cell_length_c 24.2094
_cell_angle_alpha 90.00
_cell_angle_beta 90.00
_cell_angle_gamma 120.00
loop_
_atom_site_label
_atom_site_type_symbol
_atom_site_fract_x
_atom_site_fract_y
_atom_site_fract_z
Hf1 Hf 0.0000 0.0000 0.0000
Hf2 Hf 0.0000 0.0000 0.1249
Hf3 Hf 0.0000 0.0000 0.6252
Zr1 Zr 0.0000 0.0000 0.4999
Mn1 Mn 0.0000 0.0000 0.3125
Mn2 Mn 0.0000 0.0000 0.8124
Mn3 Mn 0.0005 0.5002 0.5630
Mn4 Mn 0.1671 0.3342 0.3954
```

Results
Energy relative to the elements ... -2.82 eV/f.u.
Crystal system ... trigonal
Energy ... -9.55 eV/atom
N(E_F) ... 10.810 states/eV/f.u.
Calculated density ... 10.4 Mg/m³